(1)
Entry from the Alexandria database: a relaxed Sr2CaZr crystal (PBE-GGA).

Properties
As for the energy relative to the elements: 1.86 eV per formula unit.

CIF file:
```
data_Sr2CaZr
_cell_length_a 5.415
_cell_length_b 5.415
_cell_length_c 10.815
_cell_angle_alpha 90.00
_cell_angle_beta 90.00
_cell_angle_gamma 90.00
_space_group_name_H-M_alt 'P 1'
_space_group_IT_number 1
loop_
_space_group_symop_operation_xyz
'x,y,z'
loop_
_atom_site_label
_atom_site_type_symbol
_atom_site_fract_x
_atom_site_fract_y
_atom_site_fract_z
Sr1 Sr 0.000 0.500 0.250
Sr2 Sr 0.000 0.500 0.750
Sr3 Sr 0.500 0.000 0.250
Sr4 Sr 0.500 0.000 0.750
Ca1 Ca 0.000 0.000 0.000
Ca2 Ca 0.500 0.500 0.500
Zr1 Zr 0.000 0.000 0.500
Zr2 Zr 0.500 0.500 0.000
```


(2)
Entry from the Alexandria database: a relaxed SrCa4Zr crystal (PBE-GGA).

Properties
As for the energy relative to the elements: 2.78 eV per formula unit.

CIF file:
```
data_SrCa4Zr
_cell_length_a 6.971
_cell_length_b 6.971
_cell_length_c 6.971
_cell_angle_alpha 60.00
_cell_angle_beta 60.00
_cell_angle_gamma 60.00
_space_group_name_H-M_alt 'P 1'
_space_group_IT_number 1
loop_
_space_group_symop_operation_xyz
'x,y,z'
loop_
_atom_site_label
_atom_site_type_symbol
_atom_site_fract_x
_atom_site_fract_y
_atom_site_fract_z
Sr1 Sr 0.000 0.000 0.000
Ca1 Ca 0.376 0.376 0.376
Ca2 Ca 0.376 0.376 0.871
Ca3 Ca 0.376 0.871 0.376
Ca4 Ca 0.871 0.376 0.376
Zr1 Zr 0.750 0.750 0.750
```


> Among the records above, which one has the lowest energy relative to the elements?

Sr2CaZr


> What is the formula in the first record?

Sr2CaZr


> Which formula does entry 2 have?

SrCa4Zr


> The highest energy relative to the elements belongs to which entry?

SrCa4Zr